A PBEsol-optimized structure of CsSrPt2, computed with SCAN.

Cell lengths 5.2694, 5.2694, 5.2694 Å; angles 60.00, 60.00, 60.00 degrees
Last column: nearest neighbours and their distance in Å.
Atoms (fractional coordinates):
Cs 0.5000 0.5000 0.5000  8 Pt 3.23
Sr 0.0000 0.0000 0.0000  8 Pt 3.23
Pt 0.2500 0.2500 0.2500  4 Sr 3.23, 4 Cs 3.23
Pt 0.7500 0.7500 0.7500  4 Sr 3.23, 4 Cs 3.23

Summary:
**Space-group type**: No. 225
**Mass density**: 9.80 Mg/m³
**Calculated volume**: 103.5 Å³/f.u.
**Crystal system**: cubic
**D(E_F)**: 1.148 states/eV/atom
**Calculated total energy**: -50.0428 eV per atom


A PBEsol-optimized structure of CsSrPt3, computed with SCAN.

Cell lengths 5.3804, 5.3804, 5.3804 Å; angles 90.00, 90.00, 90.00 degrees
Last column: nearest neighbours and their distance in Å.
Atoms (fractional coordinates):
Cs 0.5000 0.5000 0.5000  12 Pt 3.80
Sr 0.0000 0.0000 0.0000  6 Pt 2.69
Pt 0.0000 0.5000 0.0000  2 Sr 2.69
Pt 0.0000 0.0000 0.5000  2 Sr 2.69
Pt 0.5000 0.0000 0.0000  2 Sr 2.69

Summary:
**Space-group type**: No. 221
**Mass density**: 8.59 Mg/m³
**Calculated volume**: 155.8 Å³/f.u.
**Crystal system**: cubic
**D(E_F)**: 0.602 states/eV/atom
**Calculated total energy**: -53.0852 eV per atom


A PBEsol-optimized structure of CsSrPt3, computed with SCAN.

Cell lengths 5.1958, 5.1958, 5.1958 Å; angles 90.00, 90.00, 90.00 degrees
Last column: nearest neighbours and their distance in Å.
Atoms (fractional coordinates):
Cs 0.0000 0.0000 0.0000  6 Pt 2.60
Sr 0.5000 0.5000 0.5000  12 Pt 3.67
Pt 0.0000 0.5000 0.0000  2 Cs 2.60
Pt 0.0000 0.0000 0.5000  2 Cs 2.60
Pt 0.5000 0.0000 0.0000  2 Cs 2.60

Summary:
**Space-group type**: No. 221
**Mass density**: 9.54 Mg/m³
**Calculated volume**: 140.3 Å³/f.u.
**Crystal system**: cubic
**D(E_F)**: 0.878 states/eV/atom
**Calculated total energy**: -52.9678 eV per atom


A PBEsol-optimized structure of Cs2TaTiPt, computed with SCAN.

Cell lengths 4.6485, 6.2833, 6.2833 Å; angles 90.00, 90.00, 90.00 degrees
Last column: nearest neighbours and their distance in Å.
Atoms (fractional coordinates):
Cs 0.0000 0.0000 0.5000  2 Ti 3.14
Cs 0.0000 0.5000 0.0000  2 Ti 3.14
Ti 0.0000 0.0000 0.0000  2 Pt 2.32
Pt 0.5000 0.0000 0.0000  2 Ti 2.32
Ta 0.5000 0.5000 0.5000  8 Cs 3.91

Summary:
**Space-group type**: No. 123
**Mass density**: 6.24 Mg/m³
**Calculated volume**: 183.5 Å³/f.u.
**Crystal system**: tetragonal
**D(E_F)**: 1.228 states/eV/atom
**Calculated total energy**: -43.9607 eV per atom


A PBEsol-optimized structure of CsTl3Pt, computed with SCAN.

Cell lengths 4.2087, 8.7169, 9.6854 Å; angles 114.15, 90.00, 90.00 degrees
Last column: nearest neighbours and their distance in Å.
Atoms (fractional coordinates):
Cs 0.7500 0.2762 0.0639  8 Tl 3.81-3.92, 2 Cs 4.21
Cs 0.2500 0.7238 0.9361  8 Tl 3.81-3.92, 2 Cs 4.21
Tl 0.2500 0.1267 0.3162  3 Pt 2.84-3.17
Tl 0.7500 0.8733 0.6838  3 Pt 2.84-3.17
Tl 0.7500 0.4462 0.5839  1 Pt 2.73, 2 Tl 3.03
Tl 0.2500 0.5538 0.4161  1 Pt 2.73, 2 Tl 3.03
Tl 0.2500 0.2322 0.7212  3 Pt 2.85-2.88
Tl 0.7500 0.7678 0.2788  3 Pt 2.85-2.88
Pt 0.2500 0.8920 0.4946  6 Tl 2.73-2.88, 2 Pt 2.80
Pt 0.7500 0.1080 0.5054  6 Tl 2.73-2.88, 2 Pt 2.80

Summary:
**Space-group type**: No. 11
**Mass density**: 9.64 Mg/m³
**Calculated volume**: 162.1 Å³/f.u.
**Crystal system**: monoclinic
**D(E_F)**: 0.443 states/eV/atom
**Calculated total energy**: -65.2282 eV per atom


A PBEsol-optimized structure of CsTl2Pt2, computed with SCAN.

Cell lengths 3.8896, 3.8896, 9.6128 Å; angles 101.67, 101.67, 90.00 degrees
Last column: nearest neighbours and their distance in Å.
Atoms (fractional coordinates):
Cs 0.0000 0.0000 0.0000  8 Tl 3.79, 4 Cs 3.89
Tl 0.3585 0.3585 0.7169  4 Pt 2.79
Tl 0.6415 0.6415 0.2831  4 Pt 2.79
Pt 0.2500 0.7500 0.5000  4 Pt 2.75, 4 Tl 2.79
Pt 0.7500 0.2500 0.5000  4 Pt 2.75, 4 Tl 2.79

Summary:
**Space-group type**: No. 139
**Mass density**: 11.10 Mg/m³
**Calculated volume**: 139.4 Å³/f.u.
**Crystal system**: tetragonal
**D(E_F)**: 0.279 states/eV/atom
**Calculated total energy**: -64.7983 eV per atom


Q: Look up the D(E_F) of the first one.
A: 1.148 states/eV/atom


Copy entry 6 word for word.
A PBEsol-optimized structure of CsTl2Pt2, computed with SCAN.

Cell lengths 3.8896, 3.8896, 9.6128 Å; angles 101.67, 101.67, 90.00 degrees
Last column: nearest neighbours and their distance in Å.
Atoms (fractional coordinates):
Cs 0.0000 0.0000 0.0000  8 Tl 3.79, 4 Cs 3.89
Tl 0.3585 0.3585 0.7169  4 Pt 2.79
Tl 0.6415 0.6415 0.2831  4 Pt 2.79
Pt 0.2500 0.7500 0.5000  4 Pt 2.75, 4 Tl 2.79
Pt 0.7500 0.2500 0.5000  4 Pt 2.75, 4 Tl 2.79

Summary:
**Space-group type**: No. 139
**Mass density**: 11.10 Mg/m³
**Calculated volume**: 139.4 Å³/f.u.
**Crystal system**: tetragonal
**D(E_F)**: 0.279 states/eV/atom
**Calculated total energy**: -64.7983 eV per atom


Q: Look up the calculated total energy of the third one.
A: -52.9678 eV per atom